1.
A plane-wave DFT calculation with PBE was carried out for a geometry-optimized LaCS2Cl structure.

Computed properties:
E_form (uncorrected) in eV/atom: 0.725
Calculated volume in Å³ per cell: 177.7
Calculated total energy in eV/atom: -4.13
Energy relative to the lowest polymorph listed for this composition in meV per atom: 919

Cell and atoms, written as POSCAR:
```
LaCS2Cl
1.0
5.700 0.000 0.000
0.000 5.700 0.000
0.000 0.000 5.468
S C Cl La
2 1 1 1
direct
0.000 0.500 0.000
0.500 0.000 0.000
0.500 0.500 0.500
0.000 0.000 0.500
0.000 0.000 0.000
```

---

2.
A plane-wave DFT calculation with PBE was carried out for a geometry-optimized Pm3Er2Sc2 structure.

Computed properties:
Calculated volume in Å³ per cell: 212.7
Calculated total energy in eV/atom: -5.06
Energy relative to the elements in eV/atom: 0.08
Energy relative to the lowest polymorph listed for this composition in meV per atom: 36

Cell and atoms, written as POSCAR:
```
Pm3Er2Sc2
1.0
-1.546 -4.972 -0.856
3.286 -1.035 0.077
-1.590 -4.219 11.111
Pm Sc Er
3 2 2
direct
0.148 0.000 0.704
0.000 0.000 0.000
0.852 0.000 0.296
0.570 0.500 0.860
0.430 0.500 0.140
0.712 0.500 0.576
0.288 0.500 0.424
```

---

3.
A plane-wave DFT calculation with PBE was carried out for a geometry-optimized BaNaTlZn structure.

Computed properties:
Calculated volume in Å³ per cell: 127.0
Calculated total energy in eV/atom: -1.84
Energy relative to the elements in eV/atom: -0.12

Cell and atoms, written as POSCAR:
```
BaNaTlZn
1.0
-2.799 3.064 3.822
-5.519 0.969 -0.654
-3.727 -2.487 3.429
Na Zn Ba Tl
1 1 1 1
direct
0.750 0.750 0.750
0.000 0.000 0.000
0.250 0.250 0.250
0.500 0.500 0.500
```